# 1
# VSN2O | Alexandria via LeMat-Bulk | PBE with a Hubbard U | optimized geometry
# - N(E_F) (states/eV per cell) = 3.300
# - total DFT energy (no corrections) (eV per cell) = -27.4
# - ρ (g/cm3) = 4.52
# - symmetry = P4/mmm
data_VSN2O
_chemical_formula_sum 'V1 S1 N2 O1'
_symmetry_space_group_name_H-M 'P 1'
_symmetry_Int_Tables_number 1
_symmetry_space_group_name_Hall 'P 1'
_cell_length_a 3.592
_cell_length_b 3.592
_cell_length_c 3.618
_cell_angle_alpha 90.00
_cell_angle_beta 90.00
_cell_angle_gamma 90.00
loop_
_atom_site_label
_atom_site_type_symbol
_atom_site_fract_x
_atom_site_fract_y
_atom_site_fract_z
S1 S 0.000 0.000 0.000
N1 N 0.000 0.500 0.000
N2 N 0.500 0.000 0.000
O1 O 0.000 0.000 0.500
V1 V 0.500 0.500 0.500


# 2
# WS2N2O2 | Alexandria via LeMat-Bulk | PBE with a Hubbard U | optimized geometry
# - N(E_F) (states/eV per cell) = 0.000
# - total DFT energy (no corrections) (eV per cell) = -91.6
# - ρ (g/cm3) = 2.75
# - symmetry = Cc
# - relative energy among the computed polymorphs (meV per atom) = 0
data_WS2N2O2
_chemical_formula_sum 'W2 S4 N4 O4'
_symmetry_space_group_name_H-M 'P 1'
_symmetry_Int_Tables_number 1
_symmetry_space_group_name_Hall 'P 1'
_cell_length_a 6.541
_cell_length_b 6.541
_cell_length_c 12.080
_cell_angle_alpha 61.11
_cell_angle_beta 61.11
_cell_angle_gamma 91.81
loop_
_atom_site_label
_atom_site_type_symbol
_atom_site_fract_x
_atom_site_fract_y
_atom_site_fract_z
S1 S 0.395 0.825 0.541
S2 S 0.174 0.608 0.958
S3 S 0.608 0.174 0.458
S4 S 0.825 0.395 0.041
W1 W 0.423 0.576 0.750
W2 W 0.576 0.423 0.250
O1 O 0.726 0.670 0.698
O2 O 0.329 0.272 0.803
O3 O 0.272 0.329 0.303
O4 O 0.670 0.726 0.198
N1 N 0.956 0.214 0.700
N2 N 0.787 0.046 0.799
N3 N 0.046 0.787 0.299
N4 N 0.214 0.956 0.200


# 3
# WSNO2 | Alexandria via LeMat-Bulk | PBE with a Hubbard U | optimized geometry
# - N(E_F) (states/eV per cell) = 0.701
# - total DFT energy (no corrections) (eV per cell) = -25.8
# - ρ (g/cm3) = 7.81
# - symmetry = P4/mmm
data_WSNO2
_chemical_formula_sum 'W1 S1 N1 O2'
_symmetry_space_group_name_H-M 'P 1'
_symmetry_Int_Tables_number 1
_symmetry_space_group_name_Hall 'P 1'
_cell_length_a 4.028
_cell_length_b 4.028
_cell_length_c 3.433
_cell_angle_alpha 90.00
_cell_angle_beta 90.00
_cell_angle_gamma 90.00
loop_
_atom_site_label
_atom_site_type_symbol
_atom_site_fract_x
_atom_site_fract_y
_atom_site_fract_z
S1 S 0.000 0.000 0.000
O1 O 0.000 0.500 0.000
O2 O 0.500 0.000 0.000
W1 W 0.500 0.500 0.500
N1 N 0.000 0.000 0.500


# 4
# WSNO2 | Alexandria via LeMat-Bulk | PBE with a Hubbard U | optimized geometry
# - N(E_F) (states/eV per cell) = 2.432
# - total DFT energy (no corrections) (eV per cell) = -30.2
# - ρ (g/cm3) = 6.93
# - symmetry = P4/mmm
data_WSNO2
_chemical_formula_sum 'W1 S1 N1 O2'
_symmetry_space_group_name_H-M 'P 1'
_symmetry_Int_Tables_number 1
_symmetry_space_group_name_Hall 'P 1'
_cell_length_a 3.856
_cell_length_b 3.856
_cell_length_c 4.220
_cell_angle_alpha 90.00
_cell_angle_beta 90.00
_cell_angle_gamma 90.00
loop_
_atom_site_label
_atom_site_type_symbol
_atom_site_fract_x
_atom_site_fract_y
_atom_site_fract_z
S1 S 0.500 0.500 0.500
O1 O 0.000 0.500 0.000
O2 O 0.500 0.000 0.000
W1 W 0.000 0.000 0.000
N1 N 0.000 0.000 0.500


# 5
# WS2N2O2 | Alexandria via LeMat-Bulk | PBE with a Hubbard U | optimized geometry
# - total DFT energy (no corrections) (eV per cell) = -89.9
# - ρ (g/cm3) = 3.89
# - symmetry = C2/c
# - relative energy among the computed polymorphs (meV per atom) = 126
data_WS2N2O2
_chemical_formula_sum 'W2 S4 N4 O4'
_symmetry_space_group_name_H-M 'P 1'
_symmetry_Int_Tables_number 1
_symmetry_space_group_name_Hall 'P 1'
_cell_length_a 7.483
_cell_length_b 7.483
_cell_length_c 11.556
_cell_angle_alpha 42.06
_cell_angle_beta 42.06
_cell_angle_gamma 68.81
loop_
_atom_site_label
_atom_site_type_symbol
_atom_site_fract_x
_atom_site_fract_y
_atom_site_fract_z
W1 W 0.340 0.660 0.750
W2 W 0.660 0.340 0.250
S1 S 0.726 0.316 0.615
S2 S 0.684 0.274 0.885
S3 S 0.274 0.684 0.385
S4 S 0.316 0.726 0.115
N1 N 0.426 0.480 0.398
N2 N 0.520 0.574 0.102
N3 N 0.574 0.520 0.602
N4 N 0.480 0.426 0.898
O1 O 0.622 0.017 0.526
O2 O 0.983 0.378 0.974
O3 O 0.378 0.983 0.474
O4 O 0.017 0.622 0.026


Number 4 is which compound? WSNO2


Which formula does entry 3 have? WSNO2


Look up the ρ of the third one. 7.81 g/cm3


total DFT energy (no corrections) of number 4 (WSNO2)? -30.2 eV per cell